Entry 1:
DFT (PBE) results for a geometry-optimized InHgTe2 structure.

Electronic total energy in eV per cell: -35.70

abc: 7.6926 7.6926 7.6926
angles: 90.00 90.00 90.00
Space group F-43m (No. 216)
Inequivalent atoms, fractional coordinates:
In: 0.0000 0.0000 0.0000 x4
Hg: 0.2500 0.2500 0.2500 x4
Te: 0.0000 0.0000 0.5000 x4
Te: 0.2500 0.2500 0.7500 x4

---

Entry 2:
DFT (PBE) results for a geometry-optimized Dy2YTm3Sb2Os structure.

Electronic total energy in eV per cell: -109.79

abc: 4.2077 14.0445 8.1205
angles: 90.00 90.00 90.00
Space group Amm2 (No. 38)
Inequivalent atoms, fractional coordinates:
Dy: 0.0000 0.1972 0.0000 x4
Y: 0.0000 0.0000 0.4081 x2
Tm: 0.5000 0.0000 0.0370 x2
Tm: 0.5000 0.1172 0.6858 x4
Sb: 0.5000 0.1667 0.3028 x4
Os: 0.0000 0.0000 0.8031 x2

---

Entry 3:
DFT (PBE) results for a geometry-optimized Na5LuH4C4O14 structure.

Electronic total energy in eV per cell: -359.51

abc: 7.4524 7.4524 11.4111
angles: 90.00 90.00 90.00
Space group P-42_1c (No. 114)
Inequivalent atoms, fractional coordinates:
Na: 0.0000 0.0000 0.0000 x2
Na: 0.1804 0.3185 0.2908 x8
Lu: 0.0000 0.0000 0.5000 x2
H: 0.0667 0.5825 0.6153 x8
C: 0.1813 0.7108 0.4188 x8
O: 0.0000 0.5000 0.1681 x4
O: 0.0863 0.7770 0.8767 x8
O: 0.0918 0.8218 0.3510 x8
O: 0.1664 0.7426 0.5322 x8

---

Entry 4:
DFT (PBE) results for a geometry-optimized YHo2Fe9 structure.

Electronic total energy in eV per cell: -274.05
Energy of formation from the pure elements in eV/atom: -0.079

abc: 5.0420 5.0420 24.0957
angles: 90.00 90.00 120.00
Space group R-3m (No. 166, hexagonal axes)
Inequivalent atoms, fractional coordinates:
Y: 0.0000 0.0000 0.0000 x3
Ho: 0.0000 0.0000 0.1418 x6
Fe: 0.0000 0.0000 0.3328 x6
Fe: 0.0000 0.0000 0.5000 x3
Fe: 0.9998 0.4999 0.0815 x18

---

Entry 5:
DFT (PBE) results for a geometry-optimized HoScBe2Si2 structure.

Electronic total energy in eV per cell: -33.01

abc: 3.8132 3.8132 7.6659
angles: 90.00 90.00 120.00
Space group P-3m1 (No. 164)
Inequivalent atoms, fractional coordinates:
Ho: 0.0000 0.0000 0.0000 x1
Sc: 0.0000 0.0000 0.5000 x1
Be: 0.3333 0.6667 0.7360 x2
Si: 0.3333 0.6667 0.2628 x2

---

Entry 6:
DFT (PBE) results for a geometry-optimized TbGdSnC structure.

Electronic total energy in eV per cell: -49.01

abc: 3.6501 3.6501 16.0675
angles: 90.00 90.00 120.00
Space group P-3m1 (No. 164)
Inequivalent atoms, fractional coordinates:
Tb: 0.3333 0.6667 0.0844 x2
Gd: 0.3333 0.6667 0.4148 x2
Sn: 0.3333 0.6667 0.7507 x2
C: 0.0000 0.0000 0.0000 x1
C: 0.0000 0.0000 0.5000 x1

---

Entry 7:
DFT (PBE) results for a geometry-optimized Nb4CoPN2 structure.

Electronic total energy in eV per cell: -74.47

abc: 3.1984 3.1984 12.0732
angles: 90.00 90.00 120.00
Space group P-6m2 (No. 187)
Inequivalent atoms, fractional coordinates:
Nb: 0.0000 0.0000 0.1459 x2
Nb: 0.6667 0.3333 0.3463 x2
Co: 0.0000 0.0000 0.5000 x1
P: 0.6667 0.3333 0.0000 x1
N: 0.3333 0.6667 0.2509 x2

---

Entry 8:
DFT (PBE) results for a geometry-optimized K2LiAgCl6 structure.

Electronic total energy in eV per cell: -59.75

abc: 7.0457 7.0562 9.9955
angles: 89.92 90.00 89.94
Space group P1 (No. 1)
Inequivalent atoms, fractional coordinates:
K: 0.0000 0.0000 0.0000 x1
K: 0.9997 0.9998 0.4993 x1
K: 0.4998 0.5003 0.0001 x1
K: 0.4996 0.4997 0.4990 x1
Li: 0.9996 0.5003 0.2496 x1
Li: 0.4999 0.9996 0.7496 x1
Ag: 0.9998 0.4996 0.7496 x1
Ag: 0.4997 0.0003 0.2496 x1
Cl: 0.0026 0.4984 0.4986 x1
Cl: 0.2374 0.7641 0.7503 x1
Cl: 0.2415 0.2439 0.2475 x1
Cl: 0.2550 0.7424 0.2486 x1
Cl: 0.2644 0.2631 0.7518 x1
Cl: 0.4967 0.0009 0.5010 x1
Cl: 0.5028 0.9998 0.9982 x1
Cl: 0.7352 0.7361 0.7474 x1
Cl: 0.7440 0.2585 0.2507 x1
Cl: 0.7579 0.7567 0.2517 x1
Cl: 0.7625 0.2349 0.7490 x1
Cl: 0.9971 0.5006 0.0007 x1